Crystalline Rb4Ho3TmSe8 at its relaxed geometry, computed with PBE-GGA.

Computed properties:
Energy in eV per atom: -4.855
ΔE_f (raw) in meV per atom: -1733

Lattice parameters (Å, degrees): 9.3552 9.3552 9.3552 53.58 53.58 53.58
With the nearest neighbours (Å) after each atom.
Atoms (fractional coordinates):
Rb: 0.0000 0.0000 0.0000  6 Se 3.46
Rb: 0.0000 0.5000 0.5000  6 Se 3.44
Rb: 0.5000 0.0000 0.5000  6 Se 3.44
Rb: 0.5000 0.5000 0.0000  6 Se 3.44
Ho: 0.0000 0.0000 0.5000  6 Se 2.89
Ho: 0.0000 0.5000 0.0000  6 Se 2.89
Ho: 0.5000 0.0000 0.0000  6 Se 2.89
Tm: 0.5000 0.5000 0.5000  6 Se 2.87
Se: 0.2316 0.2316 0.2316  3 Ho 2.89
Se: 0.2333 0.7304 0.7304  1 Tm 2.87, 2 Ho 2.89
Se: 0.2696 0.2696 0.7667  1 Tm 2.87, 2 Ho 2.89
Se: 0.2696 0.7667 0.2696  1 Tm 2.87, 2 Ho 2.89
Se: 0.7304 0.2333 0.7304  1 Tm 2.87, 2 Ho 2.89
Se: 0.7304 0.7304 0.2333  1 Tm 2.87, 2 Ho 2.89
Se: 0.7667 0.2696 0.2696  1 Tm 2.87, 2 Ho 2.89
Se: 0.7684 0.7684 0.7684  3 Ho 2.89

---

Crystalline MgH12SeO9 at its relaxed geometry, computed with PBE-GGA.

Computed properties:
Energy above the lowest structure with this stoichiometry in meV/atom: 0
Energy in eV per atom: -5.109

Lattice parameters (Å, degrees): 5.9914 5.9914 5.9914 96.94 96.94 96.94
With the nearest neighbours (Å) after each atom.
Atoms (fractional coordinates):
Mg: 0.0000 0.0000 0.0000  6 O 2.08-2.15
H: 0.0277 0.5415 0.9524  1 O 0.99
H: 0.0721 0.4144 0.2741  1 O 1.01
H: 0.1298 0.6303 0.7366  1 O 1.00
H: 0.1802 0.8094 0.3777  1 O 1.01
H: 0.2741 0.0721 0.4144  1 O 1.01
H: 0.3777 0.1802 0.8094  1 O 1.01
H: 0.4144 0.2741 0.0721  1 O 1.01
H: 0.5415 0.9524 0.0277  1 O 0.99
H: 0.6303 0.7366 0.1298  1 O 1.00
H: 0.7366 0.1298 0.6303  1 O 1.00
H: 0.8094 0.3777 0.1802  1 O 1.01
H: 0.9524 0.0277 0.5415  1 O 0.99
Se: 0.5192 0.5192 0.5192  3 O 1.74
O: 0.0635 0.6774 0.8770  2 H 0.99-1.00
O: 0.1389 0.9590 0.3381  2 H 1.01
O: 0.2394 0.5723 0.4863  3 H 1.64-1.72, 1 Se 1.74
O: 0.3381 0.1389 0.9590  2 H 1.01
O: 0.4863 0.2394 0.5723  3 H 1.64-1.72, 1 Se 1.74
O: 0.5723 0.4863 0.2394  3 H 1.64-1.72, 1 Se 1.74
O: 0.6774 0.8770 0.0635  2 H 0.99-1.00
O: 0.8770 0.0635 0.6774  2 H 0.99-1.00
O: 0.9590 0.3381 0.1389  2 H 1.01